# 1
The following is a PBE calculation of a geometry-optimized TbGd2In3CuIr2 structure, from OQMD via LeMat-Bulk.

POSCAR file:
```
TbGd2In3CuIr2
1.0
3.9010 0.0000 0.0000
0.0000 6.5595 3.7929
0.0000 -6.5595 3.7929
In Cu Ir Tb Gd
3 1 2 1 2
direct
0.5000 0.7482 0.9997
0.5000 0.9997 0.7482
0.5000 0.2519 0.2519
0.0000 0.9997 0.9997
0.5000 0.6665 0.3342
0.5000 0.3342 0.6665
0.0000 0.5864 0.5864
0.0000 0.0000 0.4136
0.0000 0.4136 0.0000
```

space-group type: No. 38
E: -0.2008 hartree per atom
total magnetic moment: 0.00 μB per formula unit



# 2
The following is a PBE calculation of a geometry-optimized GdY2In3CuIr2 structure, from OQMD via LeMat-Bulk.

POSCAR file:
```
GdY2In3CuIr2
1.0
3.8771 0.0000 0.0000
0.0000 6.5433 3.7874
0.0000 -6.5433 3.7874
Ir In Y Gd Cu
2 3 2 1 1
direct
0.5000 0.6654 0.3337
0.5000 0.3337 0.6654
0.5000 0.9985 0.2526
0.5000 0.7487 0.7487
0.5000 0.2526 0.9985
0.0000 0.5871 0.9997
0.0000 0.9997 0.5871
0.0000 0.4140 0.4140
0.0000 0.0004 0.0004
```

space-group type: No. 38
E: -0.2158 hartree per atom
total magnetic moment: 0.00 μB per formula unit



# 3
The following is a PBE calculation of a geometry-optimized GdLu2In3CuNi2 structure, from OQMD via LeMat-Bulk.

POSCAR file:
```
GdLu2In3CuNi2
1.0
-2.9058 -1.8992 -1.5480
-3.9799 1.0858 6.1386
-0.2863 4.9275 -5.5081
In Lu Cu Gd Ni
3 2 1 1 2
direct
0.5000 0.2569 0.2569
0.5000 0.0020 0.7414
0.5000 0.7414 0.0020
0.0000 0.4122 0.9997
0.0000 0.9997 0.4122
0.0000 0.0013 0.0013
0.0000 0.5871 0.5871
0.5000 0.3317 0.6677
0.5000 0.6677 0.3317
```

space-group type: No. 38
E: -0.1674 hartree per atom
total magnetic moment: 0.00 μB per formula unit



# 4
The following is a PBE calculation of a geometry-optimized Gd3Mg3InCu2 structure, from OQMD via LeMat-Bulk.

POSCAR file:
```
Gd3Mg3InCu2
1.0
7.3326 0.0000 0.0000
-3.6663 6.3502 0.0000
0.0000 0.0000 4.4788
Cu Mg Gd In
2 3 3 1
direct
0.3333 0.6667 0.5000
0.6667 0.3333 0.5000
0.0000 0.2529 0.5000
0.7471 0.7471 0.5000
0.2529 0.0000 0.5000
0.0000 0.5692 0.0000
0.4308 0.4308 0.0000
0.5692 0.0000 0.0000
0.0000 0.0000 0.0000
```

space-group type: No. 189
E: -0.1252 hartree per atom
total magnetic moment: 0.03 μB per formula unit



# 5
The following is a PBE calculation of a geometry-optimized Gd3MgIn2CuPt2 structure, from OQMD via LeMat-Bulk.

POSCAR file:
```
Gd3MgIn2CuPt2
1.0
3.9279 0.0000 0.0000
0.0000 6.6044 3.8083
0.0000 -6.6044 3.8083
In Gd Pt Cu Mg
2 3 2 1 1
direct
0.5000 0.2433 0.9990
0.5000 0.9990 0.2433
0.0000 0.0039 0.5856
0.0000 0.5856 0.0039
0.0000 0.4125 0.4125
0.5000 0.6693 0.3412
0.5000 0.3412 0.6693
0.0000 0.9929 0.9929
0.5000 0.7524 0.7524
```

space-group type: No. 38
E: -0.1796 hartree per atom
total magnetic moment: 0.01 μB per formula unit



# 6
The following is a PBE calculation of a geometry-optimized NdGd2In3Cu2Pt structure, from OQMD via LeMat-Bulk.

POSCAR file:
```
NdGd2In3Cu2Pt
1.0
4.0314 0.0000 0.0000
0.0000 6.5774 3.8111
0.0000 -6.5774 3.8111
Gd In Cu Pt Nd
2 3 2 1 1
direct
0.0000 0.9993 0.4050
0.0000 0.4050 0.9993
0.5000 0.0017 0.7403
0.5000 0.7403 0.0017
0.5000 0.2593 0.2593
0.5000 0.6684 0.3297
0.5000 0.3297 0.6684
0.0000 0.0037 0.0037
0.0000 0.5926 0.5926
```

space-group type: No. 38
E: -0.1669 hartree per atom
total magnetic moment: 0.00 μB per formula unit